# GGA-PBE NiTe2Rh, relaxed
data_NiTe2Rh
_chemical_formula_sum 'Ni1 Te2 Rh1'
_symmetry_space_group_name_H-M 'P 1'
_symmetry_Int_Tables_number 1
_symmetry_space_group_name_Hall 'P 1'
_cell_length_a 4.707
_cell_length_b 4.707
_cell_length_c 4.707
_cell_angle_alpha 60.00
_cell_angle_beta 60.00
_cell_angle_gamma 60.00
loop_
_atom_site_label
_atom_site_fract_x
_atom_site_fract_y
_atom_site_fract_z
Ni1 0.000 0.000 0.000
Te1 0.250 0.250 0.250
Te2 0.750 0.750 0.750
Rh1 0.500 0.500 0.500
# **Total moment**: 0.0 μB per formula unit
# **Uncorrected energy**: -4.771 eV per atom
# **V**: 74 Å³ per cell


# GGA-PBE NiTe3Rh, relaxed
data_NiTe3Rh
_chemical_formula_sum 'Ni4 Te12 Rh4'
_symmetry_space_group_name_H-M 'P 1'
_symmetry_Int_Tables_number 1
_symmetry_space_group_name_Hall 'P 1'
_cell_length_a 8.573
_cell_length_b 8.573
_cell_length_c 6.960
_cell_angle_alpha 96.88
_cell_angle_beta 96.88
_cell_angle_gamma 87.08
loop_
_atom_site_label
_atom_site_fract_x
_atom_site_fract_y
_atom_site_fract_z
Ni1 0.134 0.322 0.077
Ni2 0.322 0.134 0.577
Ni3 0.678 0.866 0.423
Ni4 0.866 0.678 0.923
Te1 0.071 0.174 0.743
Te2 0.154 0.582 0.915
Te3 0.174 0.071 0.243
Te4 0.299 0.473 0.373
Te5 0.418 0.846 0.585
Te6 0.473 0.299 0.873
Te7 0.527 0.701 0.127
Te8 0.582 0.154 0.415
Te9 0.701 0.527 0.627
Te10 0.826 0.929 0.757
Te11 0.846 0.418 0.085
Te12 0.929 0.826 0.257
Rh1 0.246 0.754 0.250
Rh2 0.418 0.582 0.750
Rh3 0.582 0.418 0.250
Rh4 0.754 0.246 0.750
# **Total moment**: 0.0 μB per formula unit
# **Uncorrected energy**: -4.679 eV per atom
# **V**: 504 Å³ per cell


Question: Among the records above, which one has the lowest uncorrected energy?
Answer: NiTe2Rh